i) # ZnFeIr4

A geometry-optimized ZnFeIr4 structure (GGA-PBE, Alexandria via LeMat-Bulk).

The space group is P4/mmm (No. 123) and the conventional cell measures 2.730, 2.730 and 11.335 Å, with angles of 90.00, 90.00 and 90.00 degrees. Symmetry generates all atoms from Zn at (0.000, 0.000, 0.000), Fe at (0.500, 0.500, 0.500), Ir at (0.000, 0.000, 0.339) and Ir at (0.500, 0.500, 0.172).

As for the crystal system: tetragonal.

---

ii) # ZnFeIr4

A geometry-optimized ZnFeIr4 structure (GGA-PBE, Alexandria via LeMat-Bulk).

The space group is F-43m (No. 216) and the conventional cell measures 7.283, 7.283 and 7.283 Å, with angles of 90.00, 90.00 and 90.00 degrees. Symmetry generates all atoms from Zn at (0.000, 0.000, 0.000), Fe at (0.250, 0.250, 0.750) and Ir at (0.125, 0.125, 0.375).

As for the crystal system: cubic.

---

Referenced to the most stable arrangement, the calculated values in meV per atom are i) 0; ii) 438.

---

i) # ZrFe2Ir2

A geometry-optimized ZrFe2Ir2 structure (GGA-PBE, Alexandria via LeMat-Bulk).

The space group is P4/mbm (No. 127) and the conventional cell measures 7.250, 7.250 and 2.755 Å, with angles of 90.00, 90.00 and 90.00 degrees. Symmetry generates all atoms from Zr at (0.000, 0.000, 0.000), Fe at (0.117, 0.383, 0.000) and Ir at (0.177, 0.677, 0.500).

As for the crystal system: tetragonal.

---

ii) # ZrFe2Ir2

A geometry-optimized ZrFe2Ir2 structure (GGA-PBE, Alexandria via LeMat-Bulk).

The space group is P4/mbm (No. 127) and the conventional cell measures 7.321, 7.321 and 2.800 Å, with angles of 90.00, 90.00 and 90.00 degrees. Symmetry generates all atoms from Zr at (0.000, 0.000, 0.000), Fe at (0.167, 0.333, 0.500) and Ir at (0.131, 0.631, 0.000).

As for the crystal system: tetragonal.

---

Referenced to the most stable arrangement, the calculated values in meV per atom are i) 0; ii) 59.

---

i) # ZrFe3Ir

A geometry-optimized ZrFe3Ir structure (GGA-PBE, Alexandria via LeMat-Bulk).

The space group is Pm-3m (No. 221) and the conventional cell measures 4.446, 4.446 and 4.446 Å, with angles of 90.00, 90.00 and 90.00 degrees. Symmetry generates all atoms from Zr at (0.000, 0.000, 0.000), Fe at (0.000, 0.000, 0.500) and Ir at (0.500, 0.500, 0.500).

As for the crystal system: cubic.

---

ii) # ZrFe3Ir

A geometry-optimized ZrFe3Ir structure (GGA-PBE, Alexandria via LeMat-Bulk).

The space group is Pm-3m (No. 221) and the conventional cell measures 4.421, 4.421 and 4.421 Å, with angles of 90.00, 90.00 and 90.00 degrees. Symmetry generates all atoms from Zr at (0.000, 0.000, 0.000), Fe at (0.000, 0.500, 0.500) and Ir at (0.500, 0.500, 0.500).

As for the crystal system: cubic.

---

Referenced to the most stable arrangement, the calculated values in meV per atom are i) 612; ii) 0.

---

i) # ZrFeIr3

A geometry-optimized ZrFeIr3 structure (GGA-PBE, Alexandria via LeMat-Bulk).

The space group is Pm-3m (No. 221) and the conventional cell measures 4.817, 4.817 and 4.817 Å, with angles of 90.00, 90.00 and 90.00 degrees. Symmetry generates all atoms from Zr at (0.000, 0.000, 0.000), Fe at (0.500, 0.500, 0.500) and Ir at (0.000, 0.000, 0.500).

As for the crystal system: cubic.

---

ii) # ZrFeIr3

A geometry-optimized ZrFeIr3 structure (GGA-PBE, Alexandria via LeMat-Bulk).

The space group is Pm-3m (No. 221) and the conventional cell measures 4.489, 4.489 and 4.489 Å, with angles of 90.00, 90.00 and 90.00 degrees. Symmetry generates all atoms from Zr at (0.000, 0.000, 0.000), Fe at (0.500, 0.500, 0.500) and Ir at (0.000, 0.500, 0.500).

As for the crystal system: cubic.

---

Referenced to the most stable arrangement, the calculated values in meV per atom are i) 1480; ii) 0.

---

i) # K2Fe

A geometry-optimized K2Fe structure (GGA-PBE, Alexandria via LeMat-Bulk).

The space group is Fm-3m (No. 225) and the conventional cell measures 8.454, 8.454 and 8.454 Å, with angles of 90.00, 90.00 and 90.00 degrees. Symmetry generates all atoms from K at (0.250, 0.250, 0.250) and Fe at (0.000, 0.000, 0.000).

As for the crystal system: cubic.

---

ii) # K2Fe

A geometry-optimized K2Fe structure (GGA-PBE, Alexandria via LeMat-Bulk).

The space group is C2/m (No. 12) and the conventional cell measures 13.969, 3.833 and 10.401 Å, with angles of 90.00, 115.10 and 90.00 degrees. Symmetry generates all atoms from K at (0.010, 0.000, 0.179), K at (0.179, 0.500, 0.658) and Fe at (0.216, 0.500, 0.027).

As for the crystal system: monoclinic.

---

iii) # K2Fe

A geometry-optimized K2Fe structure (GGA-PBE, Alexandria via LeMat-Bulk).

The space group is I4/mmm (No. 139) and the conventional cell measures 3.915, 3.915 and 16.702 Å, with angles of 90.00, 90.00 and 90.00 degrees. Symmetry generates all atoms from K at (0.000, 0.000, 0.130) and Fe at (0.000, 0.000, 0.500).

As for the crystal system: tetragonal.

---

iv) # K2Fe

A geometry-optimized K2Fe structure (GGA-PBE, Alexandria via LeMat-Bulk).

The space group is P6_3/mmc (No. 194) and the conventional cell measures 6.1734, 6.1734 and 7.4941 Å, with angles of 90.00, 90.00 and 120.00 degrees. Symmetry generates all atoms from K at (0.0000, 0.0000, 0.0000), K at (0.3333, 0.6667, 0.2500) and Fe at (0.3333, 0.6667, 0.7500).

As for the crystal system: hexagonal.

---

Referenced to the most stable arrangement, the calculated values in meV per atom are i) 469; ii) 0; iii) 328; iv) 420.

---

i) # K5Fe3

A geometry-optimized K5Fe3 structure (GGA-PBE, Alexandria via LeMat-Bulk).

The space group is P6_3/mcm (No. 193) and the conventional cell measures 11.4128, 11.4128 and 5.3886 Å, with angles of 90.00, 90.00 and 120.00 degrees. Symmetry generates all atoms from K at (0.0000, 0.2522, 0.2500), K at (0.3333, 0.6667, 0.0000) and Fe at (0.0000, 0.4733, 0.7500).

As for the crystal system: hexagonal.

---

ii) # K5Fe3

A geometry-optimized K5Fe3 structure (GGA-PBE, Alexandria via LeMat-Bulk).

The space group is Cmmm (No. 65) and the conventional cell measures 13.164, 14.283 and 4.111 Å, with angles of 90.00, 90.00 and 90.00 degrees. Symmetry generates all atoms from K at (0.000, 0.000, 0.000), K at (0.227, 0.500, 0.500), K at (0.250, 0.250, 0.000), Fe at (0.000, 0.417, 0.500) and Fe at (0.000, 0.500, 0.000).

As for the crystal system: orthorhombic.

---

Referenced to the most stable arrangement, the calculated values in meV per atom are i) 348; ii) 0.